{"formula": "Pr2CoC", "functional": "PBE", "state": "optimized geometry", "cell": [[3.683, 0.000, 0.000], [0.000, 5.390, 0.000], [0.000, 0.000, 8.629]], "species": ["Pr", "Pr", "Pr", "Pr", "Co", "Co", "C", "C"], "frac_coords": [[0.250, 0.250, 0.054], [0.250, 0.750, 0.376], [0.750, 0.250, 0.624], [0.750, 0.750, 0.946], [0.250, 0.750, 0.683], [0.750, 0.250, 0.317], [0.250, 0.250, 0.347], [0.750, 0.750, 0.653]], "formation_energy_kj_per_mol_atoms": -6.91, "spacegroup": "Pmmn"}

---

{"formula": "Pr2Co17C2", "functional": "PBE", "state": "optimized geometry", "cell": [[4.742, -4.310, 0.000], [4.742, 4.310, 0.000], [-0.915, 0.000, 6.366]], "species": ["Pr", "Pr", "Co", "Co", "Co", "Co", "Co", "Co", "Co", "Co", "Co", "Co", "Co", "Co", "Co", "Co", "Co", "Co", "Co", "C", "C"], "frac_coords": [[0.143, 0.143, 0.326], [0.857, 0.857, 0.674], [0.000, 0.500, 0.000], [0.156, 0.637, 0.341], [0.160, 0.160, 0.864], [0.217, 0.499, 0.716], [0.227, 0.773, 0.000], [0.363, 0.844, 0.659], [0.405, 0.405, 0.095], [0.499, 0.217, 0.716], [0.500, 0.000, 0.000], [0.500, 0.500, 0.500], [0.501, 0.783, 0.284], [0.595, 0.595, 0.905], [0.637, 0.156, 0.341], [0.773, 0.227, 0.000], [0.783, 0.501, 0.284], [0.840, 0.840, 0.136], [0.844, 0.363, 0.659], [0.000, 0.500, 0.500], [0.500, 0.000, 0.500]], "formation_energy_kj_per_mol_atoms": 0.32, "spacegroup": "C2/m"}

---

{"formula": "Pr2Co2SiC", "functional": "PBE", "state": "optimized geometry", "cell": [[3.955, 0.000, 0.000], [0.000, 6.053, 0.000], [0.000, 0.000, 9.081]], "species": ["Pr", "Pr", "Pr", "Pr", "Co", "Co", "Co", "Co", "Si", "Si", "C", "C"], "frac_coords": [[0.000, 0.000, 0.191], [0.000, 0.000, 0.809], [0.500, 0.500, 0.309], [0.500, 0.500, 0.691], [0.000, 0.206, 0.500], [0.000, 0.794, 0.500], [0.500, 0.294, 0.000], [0.500, 0.706, 0.000], [0.000, 0.500, 0.000], [0.500, 0.000, 0.500], [0.000, 0.500, 0.500], [0.500, 0.000, 0.000]], "raw_formation_energy_ev_per_atom": -0.44, "spacegroup": "Immm"}

---

Number 1: DOS(E_F) 0.67 states/eV per atom, spin magnetization 0.000 μB/atom. Number 2: DOS(E_F) 1.20 states/eV per atom, spin magnetization 1.027 μB/atom. Number 3: DOS(E_F) 0.79 states/eV per atom, spin magnetization 0.000 μB/atom.